Entry from the Alexandria database: a geometry-optimized DyAlGaCu3 structure (PBE-GGA).

a b c (Å): 6.1024 11.9510 5.6391
angles (deg): 90.00 90.00 90.00
Last column: nearest neighbours and their distance in Å.
Space group Cmcm (No. 63)
Inequivalent atoms, fractional coordinates:
Dy 0.0000 0.1964 0.2500 [4 per cell]  2 Ga 2.88, 1 Al 2.91, 6 Cu 3.00-3.11
Al 0.0000 0.4401 0.2500 [4 per cell]  5 Cu 2.42-2.45
Ga 0.0000 0.1459 0.7500 [4 per cell]  5 Cu 2.50-2.55
Cu 0.0000 0.3550 0.7500 [4 per cell]  1 Al 2.45, 1 Ga 2.50
Cu 0.2003 0.0000 0.0000 [8 per cell]  2 Al 2.42, 1 Cu 2.44, 2 Ga 2.55


Entry from the Alexandria database: a geometry-optimized DyAlGaCu structure (PBE-GGA).

a b c (Å): 6.6269 6.6269 6.6269
angles (deg): 90.00 90.00 90.00
Last column: nearest neighbours and their distance in Å.
Space group F-43m (No. 216)
Inequivalent atoms, fractional coordinates:
Dy 0.0000 0.0000 0.0000 [4 per cell]  4 Cu 2.87, 4 Ga 2.87
Al 0.0000 0.0000 0.5000 [4 per cell]  4 Cu 2.87, 4 Ga 2.87
Ga 0.2500 0.2500 0.7500 [4 per cell]  4 Dy 2.87, 4 Al 2.87
Cu 0.2500 0.2500 0.2500 [4 per cell]  4 Dy 2.87, 4 Al 2.87


Entry from the Alexandria database: a geometry-optimized GdDyAlCu structure (PBE-GGA).

a b c (Å): 7.1629 7.1629 7.1629
angles (deg): 90.00 90.00 90.00
Last column: nearest neighbours and their distance in Å.
Space group F-43m (No. 216)
Inequivalent atoms, fractional coordinates:
Gd 0.0000 0.0000 0.0000 [4 per cell]  4 Cu 3.10, 4 Al 3.10
Dy 0.0000 0.0000 0.5000 [4 per cell]  4 Al 3.10, 4 Cu 3.10
Al 0.2500 0.2500 0.2500 [4 per cell]  4 Gd 3.10, 4 Dy 3.10
Cu 0.2500 0.2500 0.7500 [4 per cell]  4 Gd 3.10, 4 Dy 3.10


no.,total energy (eV per atom),theoretical density (g/cm3)
1,-4.09,7.27
2,-4.20,7.37
3,-6.91,7.42